BeHgAu3: relaxed, GGA-PBE.

Output
Energy of formation from the pure elements   0.182 eV per atom
Relative energy among the computed polymorphs   0.1794 eV per atom

Cell lengths 4.5317, 4.5317, 4.5317 Å; angles 90.00, 90.00, 90.00 degrees
Space group Pm-3m (No. 221)
Asymmetric unit:
Be 0.0000 0.0000 0.0000 (multiplicity 1)
Hg 0.5000 0.5000 0.5000 (multiplicity 1)
Au 0.0000 0.0000 0.5000 (multiplicity 3)